Entry 1:
Here is a PBEsol-optimized structure of ZrZn2Os from Alexandria. Energies are from meta-GGA SCAN.

Cell: 3.9264 3.9264 7.9304 Å, 90.00 90.00 90.00°
With the nearest neighbours (Å) after each atom.
Element x y z (fractional)
Zr: 0.0000 0.0000 0.0000  4 Os 2.78, 8 Zn 2.79
Zr: 0.5000 0.5000 0.5000  4 Os 2.78, 8 Zn 2.79
Zn: 0.0000 0.5000 0.2500  4 Zn 2.78, 4 Zr 2.79, 4 Os 2.79
Zn: 0.0000 0.5000 0.7500  4 Zn 2.78, 4 Zr 2.79, 4 Os 2.79
Zn: 0.5000 0.0000 0.2500  4 Zn 2.78, 4 Zr 2.79, 4 Os 2.79
Zn: 0.5000 0.0000 0.7500  4 Zn 2.78, 4 Zr 2.79, 4 Os 2.79
Os: 0.0000 0.0000 0.5000  4 Zr 2.78, 8 Zn 2.79
Os: 0.5000 0.5000 0.0000  4 Zr 2.78, 8 Zn 2.79

Properties
- theoretical density (g/cm³) = 11.20
- size of the total moment (μB/f.u.) = 0.000
- density of states at the Fermi level (states/eV/cell) = 3.85
- space-group type = No. 139
- formation enthalpy at 0 K (eV/atom) = -0.28

=====

Entry 2:
Here is a PBEsol-optimized structure of ZrZnOs2 from Alexandria. Energies are from meta-GGA SCAN.

Cell: 2.8008 2.8008 27.0140 Å, 90.00 90.00 120.00°
With the nearest neighbours (Å) after each atom.
Element x y z (fractional)
Zr: 0.0000 0.0000 0.0000  6 Zr 2.80, 6 Os 2.89
Zr: 0.3333 0.6667 0.6667  6 Zr 2.80, 6 Os 2.89
Zr: 0.6667 0.3333 0.3333  6 Zr 2.80, 6 Os 2.89
Zn: 0.0000 0.0000 0.5000  6 Os 2.65, 6 Zn 2.80
Zn: 0.3333 0.6667 0.1667  6 Os 2.65, 6 Zn 2.80
Zn: 0.6667 0.3333 0.8333  6 Os 2.65, 6 Zn 2.80
Os: 0.0000 0.0000 0.2446  3 Zn 2.65, 6 Os 2.80, 3 Zr 2.89
Os: 0.0000 0.0000 0.7554  3 Zn 2.65, 6 Os 2.80, 3 Zr 2.89
Os: 0.3333 0.6667 0.4221  3 Zn 2.65, 6 Os 2.80, 3 Zr 2.89
Os: 0.3333 0.6667 0.9113  3 Zn 2.65, 6 Os 2.80, 3 Zr 2.89
Os: 0.6667 0.3333 0.0887  3 Zn 2.65, 6 Os 2.80, 3 Zr 2.89
Os: 0.6667 0.3333 0.5779  3 Zn 2.65, 6 Os 2.80, 3 Zr 2.89

Properties
- theoretical density (g/cm³) = 14.58
- size of the total moment (μB/f.u.) = 0.000
- density of states at the Fermi level (states/eV/cell) = 10.09
- space-group type = No. 166
- formation enthalpy at 0 K (eV/atom) = 0.23

=====

Entry 3:
Here is a PBEsol-optimized structure of ZrZn2Os from Alexandria. Energies are from meta-GGA SCAN.

Cell: 2.7123 4.3700 5.4111 Å, 90.00 104.45 90.00°
With the nearest neighbours (Å) after each atom.
Element x y z (fractional)
Zr: 0.0000 0.0000 0.0000  2 Os 2.71, 2 Zr 2.71, 8 Zn 2.88-3.00
Zn: 0.4125 0.5000 0.7291  2 Os 2.62, 5 Zn 2.64-2.90, 2 Zr 2.88
Zn: 0.5875 0.5000 0.2709  2 Os 2.62, 5 Zn 2.64-2.90, 2 Zr 2.88
Os: 0.0000 0.0000 0.5000  4 Zn 2.62, 2 Zr 2.71, 2 Os 2.71

Properties
- theoretical density (g/cm³) = 11.02
- size of the total moment (μB/f.u.) = 0.000
- density of states at the Fermi level (states/eV/cell) = 1.91
- space-group type = No. 10
- formation enthalpy at 0 K (eV/atom) = -0.11

=====

Entry 4:
Here is a PBEsol-optimized structure of ZrZn2Os from Alexandria. Energies are from meta-GGA SCAN.

Cell: 3.2982 3.2982 5.6591 Å, 90.00 90.00 90.00°
With the nearest neighbours (Å) after each atom.
Element x y z (fractional)
Zr: 0.0000 0.0000 0.0000  8 Zn 2.82, 2 Os 2.83
Zn: 0.5000 0.5000 0.2799  1 Zn 2.49, 4 Os 2.64
Zn: 0.5000 0.5000 0.7201  1 Zn 2.49, 4 Os 2.64
Os: 0.0000 0.0000 0.5000  8 Zn 2.64, 2 Zr 2.83

Properties
- theoretical density (g/cm³) = 11.12
- size of the total moment (μB/f.u.) = 0.000
- density of states at the Fermi level (states/eV/cell) = 2.06
- space-group type = No. 123
- formation enthalpy at 0 K (eV/atom) = -0.05

=====

Entry 5:
Here is a PBEsol-optimized structure of ZrZn4Os from Alexandria. Energies are from meta-GGA SCAN.

Cell: 4.9272 4.9272 4.9272 Å, 60.00 60.00 60.00°
With the nearest neighbours (Å) after each atom.
Element x y z (fractional)
Zr: 0.0000 0.0000 0.0000  12 Zn 2.89, 4 Os 3.02
Zn: 0.1264 0.6245 0.6245  6 Zn 2.45-2.47
Zn: 0.6245 0.1264 0.6245  6 Zn 2.45-2.47
Zn: 0.6245 0.6245 0.1264  6 Zn 2.45-2.47
Zn: 0.6245 0.6245 0.6245  6 Zn 2.45-2.47
Os: 0.2500 0.2500 0.2500  12 Zn 2.89, 4 Zr 3.02

Properties
- theoretical density (g/cm³) = 10.66
- size of the total moment (μB/f.u.) = 0.000
- space-group type = No. 216
- formation enthalpy at 0 K (eV/atom) = -0.35

=====

Entry 6:
Here is a PBEsol-optimized structure of ZrZnOs2 from Alexandria. Energies are from meta-GGA SCAN.

Cell: 10.1017 3.0715 4.3960 Å, 90.00 115.36 90.00°
With the nearest neighbours (Å) after each atom.
Element x y z (fractional)
Zr: 0.0000 0.0000 0.0000  7 Os 2.66-2.89, 3 Zn 2.89
Zr: 0.5000 0.5000 0.0000  7 Os 2.66-2.89, 3 Zn 2.89
Zn: 0.2671 0.5000 0.3248  6 Os 2.67-2.70, 3 Zr 2.89
Zn: 0.7671 0.0000 0.3248  6 Os 2.67-2.70, 3 Zr 2.89
Os: 0.0040 0.5000 0.4977  2 Os 2.64, 4 Zr 2.66-2.70, 2 Zn 2.67
Os: 0.2372 0.0000 0.7973  2 Os 2.64, 4 Zn 2.69-2.70, 3 Zr 2.86-2.89
Os: 0.5040 0.0000 0.4977  2 Os 2.64, 4 Zr 2.66-2.70, 2 Zn 2.67
Os: 0.7372 0.5000 0.7973  2 Os 2.64, 4 Zn 2.69-2.70, 3 Zr 2.86-2.89

Properties
- theoretical density (g/cm³) = 14.47
- size of the total moment (μB/f.u.) = 0.000
- density of states at the Fermi level (states/eV/cell) = 4.21
- space-group type = No. 8
- formation enthalpy at 0 K (eV/atom) = -0.11

=====

Entry 7:
Here is a PBEsol-optimized structure of Zr2ZnOs from Alexandria. Energies are from meta-GGA SCAN.

Cell: 3.2460 3.2460 6.6236 Å, 90.00 90.00 90.00°
With the nearest neighbours (Å) after each atom.
Element x y z (fractional)
Zr: 0.0000 0.0000 0.2444  4 Os 2.81, 4 Zn 2.85
Zr: 0.0000 0.0000 0.7556  4 Os 2.81, 4 Zn 2.85
Zn: 0.5000 0.5000 0.5000  8 Zr 2.85
Os: 0.5000 0.5000 0.0000  8 Zr 2.81

Properties
- theoretical density (g/cm³) = 10.42
- size of the total moment (μB/f.u.) = 0.000
- density of states at the Fermi level (states/eV/cell) = 1.09
- space-group type = No. 123
- formation enthalpy at 0 K (eV/atom) = -0.56

=====

Entry 8:
Here is a PBEsol-optimized structure of Zr2Os from Alexandria. Energies are from meta-GGA SCAN.

Cell: 8.7068 8.7068 8.7068 Å, 60.00 60.00 60.00°
With the nearest neighbours (Å) after each atom.
Element x y z (fractional)
Zr: 0.0000 0.0000 0.0000  6 Os 2.71
Zr: 0.0000 0.0000 0.5000  6 Os 2.71
Zr: 0.0000 0.5000 0.0000  6 Os 2.71
Zr: 0.1854 0.1854 0.5646  4 Os 2.82-3.13
Zr: 0.1854 0.5646 0.1854  4 Os 2.82-3.13
Zr: 0.1854 0.5646 0.5646  4 Os 2.82-3.13
Zr: 0.4354 0.4354 0.8146  4 Os 2.82-3.13
Zr: 0.4354 0.8146 0.4354  4 Os 2.82-3.13
Zr: 0.4354 0.8146 0.8146  4 Os 2.82-3.13
Zr: 0.5000 0.0000 0.0000  6 Os 2.71
Zr: 0.5646 0.1854 0.1854  4 Os 2.82-3.13
Zr: 0.5646 0.1854 0.5646  4 Os 2.82-3.13
Zr: 0.5646 0.5646 0.1854  4 Os 2.82-3.13
Zr: 0.8146 0.4354 0.4354  4 Os 2.82-3.13
Zr: 0.8146 0.4354 0.8146  4 Os 2.82-3.13
Zr: 0.8146 0.8146 0.4354  4 Os 2.82-3.13
Os: 0.1440 0.7853 0.7853  6 Zr 2.71-2.82
Os: 0.2147 0.2147 0.2147  6 Zr 2.71-2.82
Os: 0.2147 0.2147 0.8560  6 Zr 2.71-2.82
Os: 0.2147 0.8560 0.2147  6 Zr 2.71-2.82
Os: 0.7853 0.1440 0.7853  6 Zr 2.71-2.82
Os: 0.7853 0.7853 0.1440  6 Zr 2.71-2.82
Os: 0.7853 0.7853 0.7853  6 Zr 2.71-2.82
Os: 0.8560 0.2147 0.2147  6 Zr 2.71-2.82

Properties
- theoretical density (g/cm³) = 10.61
- size of the total moment (μB/f.u.) = 0.000
- density of states at the Fermi level (states/eV/cell) = 22.84
- space-group type = No. 227
- formation enthalpy at 0 K (eV/atom) = -0.42